1.
This record from Alexandria via LeMat-Bulk describes an optimized crystal structure of Ce2Ga4NiRh3. The functional is PBE-GGA.

Properties
Formation energy from the elements: -696 meV per atom
Crystal system: tetragonal
Magnetization: 1.36 μB per cell
SG: No. 115
N(E_F): 1.260 states/eV per atom

Unit cell a=4.1549 b=4.1549 c=10.5492 alpha=90.00 beta=90.00 gamma=90.00
Fractional positions:
Ce  0.5000  0.0000  0.2521
Ce  0.0000  0.5000  0.7479
Ga  0.5000  0.5000  0.0000
Ga  0.0000  0.0000  0.0000
Ga  0.5000  0.0000  0.6242
Ga  0.0000  0.5000  0.3758
Ni  0.5000  0.5000  0.5000
Rh  0.0000  0.0000  0.5000
Rh  0.5000  0.0000  0.8605
Rh  0.0000  0.5000  0.1395

---

2.
This record from Alexandria via LeMat-Bulk describes an optimized crystal structure of Mo2PRu. The functional is PBE-GGA.

Properties
Formation energy from the elements: 53 meV per atom
Crystal system: trigonal
Magnetization: 0.00 μB per cell
SG: No. 166
N(E_F): 1.222 states/eV per atom

Unit cell a=8.4045 b=8.4045 c=8.4045 alpha=19.59 beta=19.59 gamma=19.59
Fractional positions:
Mo  0.7554  0.7554  0.7554
Mo  0.2446  0.2446  0.2446
P  0.5000  0.5000  0.5000
Ru  0.0000  0.0000  0.0000

---

3.
This record from Alexandria via LeMat-Bulk describes an optimized crystal structure of Tl3InO3. The functional is PBE-GGA.

Properties
Crystal system: monoclinic
ΔE_f (raw): -0.947 eV/atom
Magnetization: 0.00 μB per cell
SG: No. 11

Unit cell a=3.4365 b=8.3384 c=10.7926 alpha=85.59 beta=90.00 gamma=90.00
Fractional positions:
Tl  0.2500  0.3470  0.3852
Tl  0.7500  0.6530  0.6148
Tl  0.2500  0.8715  0.8618
Tl  0.7500  0.1285  0.1382
Tl  0.2500  0.3109  0.8259
Tl  0.7500  0.6891  0.1741
In  0.2500  0.9071  0.3916
In  0.7500  0.0929  0.6084
O  0.2500  0.2603  0.6011
O  0.7500  0.7397  0.3989
O  0.2500  0.9073  0.5994
O  0.7500  0.0927  0.4006
O  0.2500  0.9196  0.1894
O  0.7500  0.0804  0.8106